Below is Sb2HBr at its PBEsol-relaxed geometry, with properties calculated at the meta-GGA SCAN level.

Cell: 6.9881 6.9881 6.9881 Å, 90.00 90.00 90.00°
With the nearest neighbours (Å) after each atom.
Space group Fm-3m (No. 225)
Asymmetric unit:
Sb  0.2500  0.2500  0.2500  4 H 3.03, 4 Br 3.03
H  0.0000  0.0000  0.0000  8 Sb 3.03
Br  0.0000  0.0000  0.5000  8 Sb 3.03

Computed properties:
calculated volume: 85 Å³/f.u.
DOS(E_F): 4.1 states/eV/cell
ρ: 6.31 g/cm3
E_tot: -23.512 eV per atom

***

Below is B2Pb2O5 at its PBEsol-relaxed geometry, with properties calculated at the meta-GGA SCAN level.

Cell: 6.9892 7.2070 7.8148 Å, 76.08 76.37 73.78°
With the nearest neighbours (Å) after each atom.
Space group P1 (No. 1)
Asymmetric unit:
B  0.0000  0.0000  0.0000  4 O 1.46-1.50
B  0.0061  0.9920  0.3251  4 O 1.47-1.49
B  0.5181  0.4780  0.6410  3 O 1.36-1.39
B  0.6654  0.1478  0.5409  4 O 1.46-1.50
B  0.6778  0.1807  0.8517  4 O 1.46-1.51
B  0.9658  0.6925  0.2375  3 O 1.37-1.39
Pb  0.0424  0.7864  0.6991  4 O 2.31-2.49
Pb  0.1437  0.3008  0.5104  3 O 2.31-2.41
Pb  0.2275  0.3258  0.0145  3 O 2.24-2.37
Pb  0.4750  0.8346  0.8422  3 O 2.23-2.28
Pb  0.4965  0.9244  0.3242  3 O 2.30-2.40
Pb  0.6716  0.3979  0.1690  3 O 2.30-2.44
O  0.0925  0.0444  0.1347  2 B 1.47-1.49
O  0.1399  0.0057  0.4387  1 B 1.47
O  0.1471  0.9844  0.8331  1 B 1.46
O  0.3805  0.2715  0.2496  4 Pb 2.24-2.38
O  0.4056  0.6669  0.6125  1 B 1.36
O  0.5100  0.0902  0.9471  1 B 1.46
O  0.5163  0.0299  0.5736  1 B 1.46
O  0.5573  0.3615  0.5131  2 B 1.39-1.50
O  0.5892  0.3983  0.8010  2 B 1.39-1.51
O  0.7808  0.1019  0.6859  2 B 1.46-1.48
O  0.8012  0.1230  0.3650  2 B 1.49
O  0.8217  0.1621  0.9687  2 B 1.47
O  0.9457  0.8049  0.0687  2 B 1.39-1.50
O  0.9632  0.4978  0.2763  1 B 1.37
O  0.9898  0.7835  0.3669  2 B 1.39-1.49

Computed properties:
calculated volume: 120 Å³/f.u.
energy relative to the elements, uncorrected: -2.036 eV/atom
DOS(E_F): 0.0 states/eV/cell
ρ: 7.12 g/cm3
E_tot: -23.989 eV per atom

***

Below is Zr3BiF at its PBEsol-relaxed geometry, with properties calculated at the meta-GGA SCAN level.

Cell: 4.5400 4.5400 4.5400 Å, 90.00 90.00 90.00°
With the nearest neighbours (Å) after each atom.
Space group Pm-3m (No. 221)
Asymmetric unit:
Zr  0.0000  0.0000  0.5000  2 F 2.27
Bi  0.5000  0.5000  0.5000  12 Zr 3.21
F  0.0000  0.0000  0.0000  6 Zr 2.27

Computed properties:
calculated volume: 94 Å³/f.u.
energy relative to the elements, uncorrected: -0.775 eV/atom
DOS(E_F): 3.9 states/eV/cell
ρ: 8.90 g/cm3
E_tot: -35.618 eV per atom

***

Below is ZrSc at its PBEsol-relaxed geometry, with properties calculated at the meta-GGA SCAN level.

Cell: 3.1207 11.7977 4.8540 Å, 90.00 90.00 90.00°
With the nearest neighbours (Å) after each atom.
Space group Cmcm (No. 63)
Asymmetric unit:
Zr  0.0000  0.1797  0.2500  7 Sc 3.00-3.29, 6 Zr 3.12-3.33
Sc  0.0000  0.4341  0.2500  4 Sc 2.88-3.12, 5 Zr 3.00-3.18

Computed properties:
calculated volume: 45 Å³/f.u.
E_form: 0.050 eV per atom
DOS(E_F): 10.9 states/eV/cell
ρ: 5.06 g/cm3
E_tot: -22.418 eV per atom

***

Below is ReTc2Hg at its PBEsol-relaxed geometry, with properties calculated at the meta-GGA SCAN level.

Cell: 3.9619 3.9619 3.8623 Å, 90.00 90.00 90.00°
With the nearest neighbours (Å) after each atom.
Space group P4/mmm (No. 123)
Asymmetric unit:
Re  0.0000  0.0000  0.0000  8 Tc 2.77, 4 Hg 2.80
Tc  0.0000  0.5000  0.5000  4 Hg 2.77, 4 Re 2.77, 4 Tc 2.80
Hg  0.5000  0.5000  0.0000  8 Tc 2.77, 4 Re 2.80

Computed properties:
calculated volume: 61 Å³/f.u.
E_form: 0.617 eV per atom
DOS(E_F): 3.6 states/eV/cell
ρ: 15.96 g/cm3
E_tot: -51.729 eV per atom

***

Below is BaLiAl2 at its PBEsol-relaxed geometry, with properties calculated at the meta-GGA SCAN level.

Cell: 5.4328 5.4328 3.6667 Å, 90.00 90.00 90.00°
With the nearest neighbours (Å) after each atom.
Space group P4/mmm (No. 123)
Asymmetric unit:
Ba  0.0000  0.0000  0.0000  8 Al 3.28, 2 Ba 3.67
Li  0.5000  0.5000  0.0000  8 Al 3.28, 2 Li 3.67
Al  0.0000  0.5000  0.5000  4 Li 3.28, 4 Ba 3.28, 2 Al 3.67

Computed properties:
calculated volume: 108 Å³/f.u.
E_form: 0.270 eV per atom
DOS(E_F): 1.6 states/eV/cell
ρ: 3.04 g/cm3
E_tot: -14.091 eV per atom